(1)
Compound: KAc2HgO5
Source: Alexandria
Functional: PBE
Structure: relaxed Values from VASP.

Calculated values
The calculation puts the energy relative to the elements, uncorrected at -47.47 kcal/mol of atoms. Its crystal system is tetragonal.

Quantum ESPRESSO input file:
```
&SYSTEM
  ibrav = 0, nat = 18, ntyp = 4
/
ATOMIC_SPECIES
Ac 227.00 Ac.upf
K 39.10 K.upf
Hg 200.59 Hg.upf
O 16.00 O.upf
ATOMIC_POSITIONS angstrom
Ac 2.3655 5.9975 0.0000
Ac 1.2666 2.3655 0.0000
Ac 4.8986 1.2666 0.0000
Ac 5.9975 4.8986 0.0000
K 0.0000 0.0000 3.1995
K 3.6320 3.6320 3.1995
Hg 0.0000 3.6320 3.1995
Hg 3.6320 0.0000 3.1995
O -2.6213 1.0107 4.9086
O -1.0107 -2.6213 4.9086
O 0.0000 0.0000 0.0000
O 3.6320 3.6320 0.0000
O 1.0107 2.6213 4.9086
O 1.0107 4.6428 1.4904
O 4.6428 6.2534 1.4904
O 2.6213 1.0107 1.4904
O 6.2534 2.6213 1.4904
O 2.6213 -1.0107 4.9086
CELL_PARAMETERS angstrom
7.2641 0.0000 0.0000
0.0000 7.2641 0.0000
-3.6320 -3.6320 6.3990
```



(2)
Compound: NiAu2Br4
Source: Alexandria
Functional: PBE
Structure: relaxed Values from VASP.

Calculated values
The calculation puts the energy relative to the elements, uncorrected at 2.86 kcal/mol of atoms. Its crystal system is tetragonal.

Quantum ESPRESSO input file:
```
&SYSTEM
  ibrav = 0, nat = 7, ntyp = 3
/
ATOMIC_SPECIES
Br 79.90 Br.upf
Au 196.97 Au.upf
Ni 58.69 Ni.upf
ATOMIC_POSITIONS angstrom
Br 2.6451 2.6451 3.9091
Br 0.0000 2.6451 0.0000
Br 2.6451 0.0000 0.0000
Br 5.2903 5.2903 2.4180
Au 2.6451 2.6451 1.3594
Au 5.2903 5.2903 4.9677
Ni 0.0000 0.0000 0.0000
CELL_PARAMETERS angstrom
5.2903 0.0000 0.0000
0.0000 5.2903 0.0000
2.6451 2.6451 6.3271
```



(3)
Compound: La4Bi3O2
Source: Alexandria
Functional: PBE
Structure: relaxed Values from VASP.

Calculated values
The calculation puts the energy relative to the elements, uncorrected at -42.99 kcal/mol of atoms. Its crystal system is monoclinic.

Quantum ESPRESSO input file:
```
&SYSTEM
  ibrav = 0, nat = 9, ntyp = 3
/
ATOMIC_SPECIES
O 16.00 O.upf
Bi 208.98 Bi.upf
La 138.91 La.upf
ATOMIC_POSITIONS angstrom
O 2.1937 1.2238 2.9347
O 0.0000 1.7201 4.9998
Bi 2.1937 -1.4596 5.9496
Bi 0.0000 0.0000 0.0000
Bi 0.0000 4.4036 1.9849
La 2.1937 2.9263 4.5645
La 0.0000 0.7536 7.1086
La 0.0000 0.0176 3.3701
La 2.1937 2.1903 0.8260
CELL_PARAMETERS angstrom
4.3874 0.0000 0.0000
-2.1937 7.1950 -0.8902
0.0000 -4.2511 8.8248
```



(4)
Compound: NaNbTcN3
Source: Alexandria
Functional: PBE
Structure: relaxed Values from VASP.

Calculated values
The calculation puts the energy relative to the elements, uncorrected at -11.78 kcal/mol of atoms. Its crystal system is monoclinic.

Quantum ESPRESSO input file:
```
&SYSTEM
  ibrav = 0, nat = 12, ntyp = 4
/
ATOMIC_SPECIES
N 14.01 N.upf
Nb 92.91 Nb.upf
Tc 98.00 Tc.upf
Na 22.99 Na.upf
ATOMIC_POSITIONS angstrom
N 4.7085 -1.0986 6.0248
N 3.3139 -1.6217 3.5004
N 0.3637 -0.5560 4.6168
N 2.4677 1.0006 6.2298
N -1.0309 -1.0790 2.0925
N 1.2098 -3.1782 1.8875
Nb 2.7341 -3.2890 0.3491
Nb 0.9435 1.1114 7.7681
Tc 0.8506 1.4321 4.8072
Tc 2.8270 -3.6098 3.3100
Na 1.4887 -0.7304 2.4808
Na 2.1889 -1.4473 5.6365
CELL_PARAMETERS angstrom
-1.7809 -2.0383 1.4062
4.0869 -3.8514 -0.4068
1.3715 3.7121 7.1179
```



(5)
Compound: TaGaBr3
Source: Alexandria
Functional: PBE
Structure: relaxed Values from VASP.

Calculated values
The calculation puts the energy relative to the elements, uncorrected at 17.79 kcal/mol of atoms. Its crystal system is cubic.

Quantum ESPRESSO input file:
```
&SYSTEM
  ibrav = 0, nat = 5, ntyp = 3
/
ATOMIC_SPECIES
Br 79.90 Br.upf
Ga 69.72 Ga.upf
Ta 180.95 Ta.upf
ATOMIC_POSITIONS angstrom
Br 0.7510 -1.0499 -2.2931
Br 2.5151 0.1346 0.7621
Br -0.1868 -2.4092 1.0419
Ga 0.0000 0.0000 0.0000
Ta 3.0794 -3.3245 -0.4891
CELL_PARAMETERS angstrom
-0.3735 -4.8184 2.0839
1.5021 -2.0999 -4.5863
5.0303 0.2693 1.5242
```



(6)
Compound: Tl4BrClO
Source: Alexandria
Functional: PBE
Structure: relaxed Values from VASP.

Calculated values
The calculation puts the energy relative to the elements, uncorrected at -17.86 kcal/mol of atoms. Its crystal system is monoclinic.

Quantum ESPRESSO input file:
```
&SYSTEM
  ibrav = 0, nat = 14, ntyp = 4
/
ATOMIC_SPECIES
Tl 204.38 Tl.upf
O 16.00 O.upf
Cl 35.45 Cl.upf
Br 79.90 Br.upf
ATOMIC_POSITIONS angstrom
Tl -7.8124 1.9879 0.7300
Tl -6.6963 -2.8491 -0.2587
Tl -4.4914 5.6447 -3.8928
Tl -4.3873 2.9629 -1.0666
Tl -6.8004 -0.1673 -3.0849
Tl -3.3753 0.8077 -4.8815
Tl -3.1315 6.6398 -0.7603
Tl -8.0562 -3.8442 -3.3912
O -6.5534 3.6917 -0.3578
O -4.6342 -0.8961 -3.7937
Cl -5.2454 0.2402 0.1708
Cl -5.9423 2.5553 -4.3223
Br -9.9257 1.9950 -2.4150
Br -1.2620 0.8006 -1.7365
CELL_PARAMETERS angstrom
-1.1362 7.4490 -1.8730
-2.7340 -2.0006 -6.2979
-7.3174 -2.6528 4.0194
```



(7)
Compound: TbCe2Sm3Y6
Source: Alexandria
Functional: PBE
Structure: relaxed Values from VASP.

Calculated values
Its crystal system is monoclinic. For the calculated formation energy, the calculation gives 0.0468 eV per atom.

Quantum ESPRESSO input file:
```
&SYSTEM
  ibrav = 0, nat = 12, ntyp = 4
/
ATOMIC_SPECIES
Ce 140.12 Ce.upf
Sm 150.36 Sm.upf
Tb 158.93 Tb.upf
Y 88.91 Y.upf
ATOMIC_POSITIONS angstrom
Ce 0.0024 3.5808 0.0026
Ce 3.1004 1.7916 0.0026
Sm -2.0741 3.5818 5.8165
Sm 1.0324 1.7877 5.8165
Sm 4.1390 -0.0065 5.8165
Tb 0.0000 0.0000 0.0000
Y -0.0148 3.5759 8.7580
Y 2.0797 -0.0005 2.8750
Y 0.0028 0.0049 8.7536
Y 2.0621 3.5704 2.8795
Y -1.0398 1.8011 2.8750
Y 3.1047 1.7743 8.7580
CELL_PARAMETERS angstrom
6.2031 -0.0004 0.0026
-3.1004 5.3727 0.0026
-1.0378 -1.7970 11.6278
```



(8)
Compound: Na2PtF
Source: Alexandria
Functional: PBE
Structure: relaxed Values from VASP.

Calculated values
The calculation puts the energy relative to the elements, uncorrected at -19.94 kcal/mol of atoms. Its crystal system is tetragonal.

Quantum ESPRESSO input file:
```
&SYSTEM
  ibrav = 0, nat = 8, ntyp = 3
/
ATOMIC_SPECIES
Na 22.99 Na.upf
F 19.00 F.upf
Pt 195.08 Pt.upf
ATOMIC_POSITIONS angstrom
Na -2.7048 -0.3447 3.8213
Na -6.1332 -3.0220 3.9595
Na -9.0796 -2.8447 6.4527
Na -5.0854 -1.7181 1.1057
F -4.0789 -0.1608 2.1843
F -6.7463 -2.8081 1.9150
Pt -4.7552 -1.1566 5.7546
Pt 0.0000 0.0000 0.0000
CELL_PARAMETERS angstrom
-2.0878 1.4907 6.0240
-6.0700 -1.8124 -1.6553
-3.3437 -3.6431 3.3009
```